Crystalline BaMoO2 at its relaxed geometry. Source: Alexandria, functional GGA+U.

Geometry as POSCAR:
```
BaMoO2
1.0
2.003 0.000 6.949
-1.002 1.735 6.949
-1.002 -1.735 6.949
Mo Ba O
1 1 2
Direct
0.500 0.500 0.500
0.000 0.000 0.000
0.121 0.121 0.121
0.879 0.879 0.879
```

Results
* M_tot: 0.6727 μB/atom
* energy: -24.42 eV per cell
* space-group type: No. 166